VASP calculation (PBE-GGA) on a relaxed Al2OsO2 crystal.

Cell: 6.808 6.808 2.578 Å, 90.00 90.00 90.00°
Space group P4/mbm (No. 127)
Unique sites:
Al 0.128 0.372 0.000 [4 per cell]
Os 0.000 0.000 0.000 [2 per cell]
O 0.114 0.614 0.500 [4 per cell]

The calculated volume comes out at 119 Å³/cell. The total energy comes out at -0.22037 hartree per atom.